(1)
# PrPd3Au

A relaxed PrPd3Au crystal (PBE, Alexandria).

Values from the calculation:
Calculated volume (Å³/atom): 22.4
ΔH_f (0 K) (meV per atom): -251
Calculated total energy (eV/cell): -99.553
Density of states at the Fermi level (states/eV per cell): 3.038
Energy above the most stable polymorph in this dataset (meV per atom): 264

abc: 6.310 6.310 12.978
angles: 90.00 90.00 120.00
Fractional positions:
1 Pd 0.867 0.733 0.250
2 Pd 0.500 0.500 0.000
3 Pd 0.267 0.133 0.250
4 Au 0.333 0.667 0.858
5 Pd 0.500 0.000 0.000
6 Au 0.667 0.333 0.358
7 Au 0.333 0.667 0.642
8 Pd 0.500 0.500 0.500
9 Pd 0.000 0.500 0.500
10 Pr 0.667 0.333 0.750
11 Pd 0.733 0.867 0.750
12 Pr 0.000 0.000 0.000
13 Pd 0.133 0.867 0.750
14 Au 0.667 0.333 0.142
15 Pd 0.133 0.267 0.750
16 Pd 0.000 0.500 0.000
17 Pr 0.000 0.000 0.500
18 Pd 0.867 0.133 0.250
19 Pd 0.500 0.000 0.500
20 Pr 0.333 0.667 0.250


(2)
# HfTiBe17

A relaxed HfTiBe17 crystal (PBE, Alexandria).

Values from the calculation:
Calculated volume (Å³/atom): 9.0
ΔH_f (0 K) (meV per atom): -218
Calculated total energy (eV/cell): -85.334
Density of states at the Fermi level (states/eV per cell): 5.061

abc: 5.597 5.597 5.597
angles: 82.91 82.91 82.91
Fractional positions:
1 Be 0.290 0.002 0.707
2 Be 0.002 0.290 0.707
3 Be 0.344 0.344 0.843
4 Ti 0.336 0.336 0.336
5 Be 0.999 0.501 0.999
6 Be 0.002 0.707 0.290
7 Be 0.843 0.344 0.344
8 Be 0.653 0.653 0.162
9 Be 0.707 0.290 0.002
10 Be 0.290 0.707 0.002
11 Be 0.707 0.002 0.290
12 Hf 0.662 0.662 0.662
13 Be 0.501 0.999 0.999
14 Be 0.904 0.904 0.904
15 Be 0.162 0.653 0.653
16 Be 0.099 0.099 0.099
17 Be 0.653 0.162 0.653
18 Be 0.999 0.999 0.501
19 Be 0.344 0.843 0.344


(3)
# AsPdBr2

A relaxed AsPdBr2 crystal (PBE, Alexandria).

Values from the calculation:
Raw formation energy (eV/f.u.): 0.8
Calculated volume (Å³/atom): 25.0
Calculated total energy (eV/cell): -12.356
Density of states at the Fermi level (states/eV per cell): 3.710
Energy above the most stable polymorph in this dataset (meV per atom): 0

abc: 8.822 8.822 8.822
angles: 24.01 24.01 24.01
Fractional positions:
1 As 0.000 0.000 0.000
2 Pd 0.500 0.500 0.500
3 Br 0.101 0.101 0.101
4 Br 0.899 0.899 0.899


> What is the calculated volume in the first record?

22.4 Å³/atom